# Li5CoO4

Li5CoO4 after structural relaxation (PBE with a Hubbard U, the Alexandria database).

a b c (Å): 5.894 5.894 5.894
angles (deg): 150.18 116.06 72.13
Positions (direct):
1 Li 0.000 0.000 0.000
2 Li 0.128 0.836 0.292
3 Li 0.456 0.164 0.292
4 Li 0.544 0.836 0.708
5 Li 0.872 0.164 0.708
6 Co 0.500 0.500 0.000
7 O 0.218 0.500 0.718
8 O 0.294 0.294 0.000
9 O 0.706 0.706 0.000
10 O 0.782 0.500 0.282

Calculated values
Uncorrected energy, eV per cell: -49.54